(1)
DFT (PBE) results for crystalline MnBe2As at its relaxed geometry.

Properties
For the total magnetization, the calculation gives 0.4902 μB/atom. Its volume is 11.401 Å³/atom. The calculation puts the formation enthalpy at 0 K at 179 meV/atom. The calculation puts the density of states at the Fermi level at 0.450 states/eV per atom.

abc: 4.166 4.166 2.813
angles: 90.00 90.00 110.91
Fractional coordinates of all 4 atoms:
Mn: 0.000 0.000 0.000
Be: 0.000 0.500 0.500
Be: 0.500 0.000 0.500
As: 0.500 0.500 0.000

=====

(2)
DFT (PBE) results for crystalline RbLaSn2Br8 at its relaxed geometry.

Properties
For the total magnetization, the calculation gives 0.0000 μB/atom. Its volume is 40.693 Å³/atom. Its uncorrected formation energy is -1.3193 eV/atom. The calculation puts the density of states at the Fermi level at 0.000 states/eV per atom.

abc: 6.922 7.394 9.579
angles: 86.09 87.20 88.00
Fractional coordinates of all 12 atoms:
Rb: 0.000 0.000 0.000
La: 0.000 0.000 0.500
Sn: 0.489 0.486 0.246
Sn: 0.511 0.514 0.754
Br: 0.242 0.830 0.281
Br: 0.244 0.329 0.472
Br: 0.260 0.853 0.719
Br: 0.270 0.376 0.040
Br: 0.730 0.624 0.960
Br: 0.740 0.147 0.281
Br: 0.756 0.671 0.528
Br: 0.758 0.170 0.719

=====

(3)
DFT (PBE) results for crystalline Na5TiSe4 at its relaxed geometry.

Properties
For the total magnetization, the calculation gives 0.1000 μB/atom. Its volume is 25.552 Å³/atom. Its uncorrected formation energy is -0.9488 eV/atom. The calculation puts the density of states at the Fermi level at 0.480 states/eV per atom.

abc: 9.022 9.022 7.643
angles: 114.96 114.96 27.13
Fractional coordinates of all 10 atoms:
Na: 0.000 0.000 0.000
Na: 0.325 0.325 0.081
Na: 0.325 0.325 0.568
Na: 0.675 0.675 0.432
Na: 0.675 0.675 0.919
Ti: 0.000 0.000 0.500
Se: 0.181 0.181 0.681
Se: 0.500 0.500 0.271
Se: 0.500 0.500 0.729
Se: 0.819 0.819 0.319

=====

(4)
DFT (PBE) results for crystalline YPBr2 at its relaxed geometry.

Properties
For the total magnetization, the calculation gives 0.0000 μB/atom. Its volume is 32.093 Å³/atom. Its uncorrected formation energy is -1.1053 eV/atom. The energy above the most stable polymorph in this dataset comes out at 0 meV per atom. The calculation puts the density of states at the Fermi level at 0.080 states/eV per atom.

abc: 8.185 8.185 4.233
angles: 92.75 92.75 26.95
Fractional coordinates of all 4 atoms:
Y: 0.000 0.000 0.000
P: 0.500 0.500 0.500
Br: 0.359 0.359 0.788
Br: 0.641 0.641 0.212